(1)
This record from Alexandria describes a geometry-optimized Tb2ZrFe9 structure. The functional is GGA-PBE. Values from VASP.

```
&SYSTEM
  ibrav = 0, nat = 24, ntyp = 3
/
ATOMIC_SPECIES
Tb 158.93 Tb.upf
Zr 91.22 Zr.upf
Fe 55.84 Fe.upf
ATOMIC_POSITIONS crystal
Tb 0.3333 0.6667 0.0384
Tb 0.3333 0.6667 0.4616
Tb 0.6667 0.3333 0.5384
Tb 0.6667 0.3333 0.9616
Zr 0.3333 0.6667 0.2500
Zr 0.6667 0.3333 0.7500
Fe 0.0000 0.0000 0.0000
Fe 0.0000 0.0000 0.2500
Fe 0.0000 0.0000 0.5000
Fe 0.0000 0.0000 0.7500
Fe 0.1666 0.3332 0.6294
Fe 0.1666 0.3332 0.8706
Fe 0.1666 0.8334 0.6294
Fe 0.1666 0.8334 0.8706
Fe 0.3332 0.1666 0.1294
Fe 0.3332 0.1666 0.3706
Fe 0.3333 0.6667 0.7500
Fe 0.6667 0.3333 0.2500
Fe 0.6668 0.8334 0.6294
Fe 0.6668 0.8334 0.8706
Fe 0.8334 0.1666 0.1294
Fe 0.8334 0.1666 0.3706
Fe 0.8334 0.6668 0.1294
Fe 0.8334 0.6668 0.3706
CELL_PARAMETERS angstrom
5.0161 0.0000 0.0000
-2.5080 4.3441 0.0000
0.0000 0.0000 16.2780
```

**Total moment**: 16.94 μB per formula unit
**Total energy**: -7.90 eV per atom
**V**: 177.3 Å³/f.u.
**Formation enthalpy at 0 K**: -0.067 eV/atom



(2)
This record from Alexandria describes a geometry-optimized BaRe2O6 structure. The functional is GGA-PBE. Values from VASP.

```
&SYSTEM
  ibrav = 0, nat = 9, ntyp = 3
/
ATOMIC_SPECIES
Ba 137.33 Ba.upf
Re 186.21 Re.upf
O 16.00 O.upf
ATOMIC_POSITIONS crystal
Ba 0.0000 0.0000 0.0000
Re 0.3333 0.6667 0.5000
Re 0.6667 0.3333 0.5000
O 0.0000 0.3924 0.6872
O 0.0000 0.6076 0.3128
O 0.3924 0.0000 0.6872
O 0.3924 0.3924 0.3128
O 0.6076 0.0000 0.3128
O 0.6076 0.6076 0.6872
CELL_PARAMETERS angstrom
5.4611 0.0000 0.0000
-2.7305 4.7294 0.0000
0.0000 0.0000 5.5314
```

**Total moment**: 0.00 μB per formula unit
**Total energy**: -8.08 eV per atom
**V**: 142.9 Å³/f.u.
**Formation energy (no corrections)**: -1.792 eV/atom



(3)
This record from Alexandria describes a geometry-optimized Sr2Tl6HgPd structure. The functional is GGA-PBE. Values from VASP.

```
&SYSTEM
  ibrav = 0, nat = 20, ntyp = 4
/
ATOMIC_SPECIES
Sr 87.62 Sr.upf
Tl 204.38 Tl.upf
Hg 200.59 Hg.upf
Pd 106.42 Pd.upf
ATOMIC_POSITIONS crystal
Sr 0.1313 0.1313 0.1313
Sr 0.3057 0.3057 0.3057
Sr 0.6943 0.6943 0.6943
Sr 0.8687 0.8687 0.8687
Tl 0.0640 0.6495 0.6495
Tl 0.2150 0.2150 0.7284
Tl 0.2150 0.7284 0.2150
Tl 0.2716 0.7850 0.7850
Tl 0.3505 0.3505 0.9360
Tl 0.3505 0.9360 0.3505
Tl 0.6495 0.0640 0.6495
Tl 0.6495 0.6495 0.0640
Tl 0.7284 0.2150 0.2150
Tl 0.7850 0.2716 0.7850
Tl 0.7850 0.7850 0.2716
Tl 0.9360 0.3505 0.3505
Hg 0.0000 0.0000 0.0000
Hg 0.5000 0.5000 0.5000
Pd 0.4276 0.4276 0.4276
Pd 0.5724 0.5724 0.5724
CELL_PARAMETERS angstrom
3.7845 2.1850 12.9843
-3.7845 2.1850 12.9843
0.0000 -4.3700 12.9843
```

**Total moment**: 0.00 μB per formula unit
**Total energy**: -2.43 eV per atom
**V**: 322.1 Å³/f.u.
**Formation enthalpy at 0 K**: -0.125 eV/atom



(4)
This record from Alexandria describes a geometry-optimized CeMgTl structure. The functional is GGA-PBE. Values from VASP.

```
&SYSTEM
  ibrav = 0, nat = 3, ntyp = 3
/
ATOMIC_SPECIES
Ce 140.12 Ce.upf
Mg 24.30 Mg.upf
Tl 204.38 Tl.upf
ATOMIC_POSITIONS crystal
Ce 0.0000 0.0000 0.0000
Mg 0.3333 0.6667 0.5000
Tl 0.6667 0.3333 0.5000
CELL_PARAMETERS angstrom
5.1096 0.0000 0.0000
-2.5548 4.4250 0.0000
0.0000 0.0000 3.5769
```

**Total moment**: 1.49 μB per formula unit
**Total energy**: -3.47 eV per atom
**V**: 80.9 Å³/f.u.
**Formation enthalpy at 0 K**: -0.168 eV/atom



Which formula does entry 4 have?
CeMgTl



Among the records above, which one has the highest V?
Sr2Tl6HgPd